No. 1
Cs5Ho2F12 | PBE | optimized geometry

a = 7.1312 Å, b = 8.3973 Å, c = 8.3973 Å
α = 61.05°, β = 84.44°, γ = 84.44°
With the nearest neighbours (Å) after each atom.
Positions (direct):
F1 0.1029 0.9484 0.9484  1 F 1.97
Cs1 0.5000 0.0000 0.0000  6 F 2.93-3.01
F2 0.1999 0.5850 0.1587  1 Ho 2.21
F3 0.2148 0.8827 0.3039  1 Ho 2.22
F4 0.8462 0.4678 0.4678  2 Ho 2.29, 1 F 2.48
Cs2 0.0273 0.2380 0.2380  5 F 2.95-3.02
F5 0.1999 0.1587 0.5850  1 Ho 2.21
F6 0.1538 0.5322 0.5322  2 Ho 2.29, 1 F 2.48
F7 0.8971 0.0516 0.0516  1 F 1.97
F8 0.7852 0.1173 0.6961  1 Ho 2.22
F9 0.7852 0.6961 0.1173  1 Ho 2.22
Ho1 0.0000 0.7262 0.2738  6 F 2.21-2.29
F10 0.2148 0.3039 0.8827  1 Ho 2.22
Cs3 0.4820 0.6375 0.6375  5 F 2.90-3.23
F11 0.8001 0.8413 0.4150  1 Ho 2.21
Ho2 0.0000 0.2738 0.7262  6 F 2.21-2.29
Cs4 0.9727 0.7620 0.7620  5 F 2.95-3.02
Cs5 0.5180 0.3625 0.3625  5 F 2.90-3.23
F12 0.8001 0.4150 0.8413  1 Ho 2.21

- Symmetry: No. 12
- Density: 4.64 g/cm3
- Raw total energy: -96.3 eV per formula unit

***

No. 2
CsHoF4 | PBE | optimized geometry

a = 5.9602 Å, b = 5.9602 Å, c = 7.2406 Å
α = 90.00°, β = 90.00°, γ = 90.00°
With the nearest neighbours (Å) after each atom.
Positions (direct):
Cs1 0.5000 0.0000 0.5000  8 F 3.33
F1 0.6812 0.1812 0.0000  2 Ho 2.19
F2 0.5000 0.5000 0.7037  1 Ho 2.15
F3 0.8188 0.6812 0.0000  2 Ho 2.19
Cs2 0.0000 0.5000 0.5000  8 F 3.33
F4 0.0000 0.0000 0.7037  1 Ho 2.15
Ho1 0.0000 0.0000 0.0000  6 F 2.15-2.19
F5 0.3188 0.8188 0.0000  2 Ho 2.19
F6 0.0000 0.0000 0.2963  1 Ho 2.15
F7 0.5000 0.5000 0.2963  1 Ho 2.15
Ho2 0.5000 0.5000 0.0000  6 F 2.15-2.19
F8 0.1812 0.3188 0.0000  2 Ho 2.19

- Symmetry: No. 127
- Density: 4.83 g/cm3
- Raw total energy: -35.1 eV per formula unit

***

No. 3
Cs2HoInF6 | PBE | optimized geometry

a = 6.8705 Å, b = 6.8325 Å, c = 9.6776 Å
α = 90.00°, β = 90.23°, γ = 90.00°
With the nearest neighbours (Å) after each atom.
Positions (direct):
F1 0.1917 0.2491 0.0331  1 Ho 2.18
Ho1 0.0000 0.5000 0.0000  6 F 2.18
Ho2 0.5000 0.0000 0.5000  6 F 2.18
F2 0.7475 0.8036 0.5295  1 Ho 2.18
In1 0.0000 0.5000 0.5000  6 F 2.72-2.74
F3 0.6917 0.2509 0.5331  1 Ho 2.18
Cs1 0.9970 0.0190 0.7504  7 F 3.07-3.42
F4 0.2525 0.1964 0.4705  1 Ho 2.18
F5 0.7525 0.3036 0.9705  1 Ho 2.18
F6 0.0594 0.4860 0.7787  1 Ho 2.18
Cs2 0.5030 0.5190 0.7496  7 F 3.07-3.42
F7 0.2475 0.6964 0.0295  1 Ho 2.18
F8 0.3083 0.7491 0.4669  1 Ho 2.18
Cs3 0.4970 0.4810 0.2504  7 F 3.07-3.42
F9 0.8083 0.7509 0.9669  1 Ho 2.18
F10 0.4406 0.9860 0.7213  1 Ho 2.18
F11 0.9406 0.5140 0.2213  1 Ho 2.18
Cs4 0.0030 0.9810 0.2496  7 F 3.07-3.42
In2 0.5000 0.0000 0.0000  6 F 2.72-2.74
F12 0.5594 0.0140 0.2787  1 Ho 2.18

- Symmetry: No. 14
- Density: 4.82 g/cm3
- Raw total energy: -51.4 eV per formula unit

***

No. 4
CsK2HoF6 | PBE | optimized geometry

a = 6.5394 Å, b = 6.9609 Å, c = 9.4593 Å
α = 90.00°, β = 88.76°, γ = 90.00°
With the nearest neighbours (Å) after each atom.
Positions (direct):
Cs1 0.5000 0.0000 0.0000  6 F 2.83-3.12
F1 0.8617 0.7443 0.8897  1 Ho 2.20
F2 0.3617 0.7557 0.3897  1 Ho 2.20
Cs2 0.0000 0.5000 0.5000  6 F 2.83-3.12
K1 0.5036 0.5327 0.7766  5 F 2.64-2.81
Ho1 0.0000 0.5000 0.0000  6 F 2.17-2.20
F3 0.2090 0.1449 0.4750  1 Ho 2.17
F4 0.8796 0.6160 0.2004  1 Ho 2.19
F5 0.1204 0.3840 0.7996  1 Ho 2.19
F6 0.2910 0.6449 0.0250  1 Ho 2.17
K2 0.0036 0.9673 0.2766  5 F 2.64-2.81
F7 0.7910 0.8551 0.5250  1 Ho 2.17
K3 0.9964 0.0327 0.7234  5 F 2.64-2.81
K4 0.4964 0.4673 0.2234  5 F 2.64-2.81
Ho2 0.5000 0.0000 0.5000  6 F 2.17-2.20
F8 0.6383 0.2443 0.6103  1 Ho 2.20
F9 0.7090 0.3551 0.9750  1 Ho 2.17
F10 0.3796 0.8840 0.7004  1 Ho 2.19
F11 0.1383 0.2557 0.1103  1 Ho 2.20
F12 0.6204 0.1160 0.2996  1 Ho 2.19

- Symmetry: No. 14
- Density: 3.78 g/cm3
- Raw total energy: -52.3 eV per formula unit

***

No. 5
CsLiHoF6 | PBE | optimized geometry

a = 7.6544 Å, b = 7.7738 Å, c = 7.3132 Å
α = 122.11°, β = 121.56°, γ = 90.00°
With the nearest neighbours (Å) after each atom.
Positions (direct):
F1 0.4054 0.1554 0.8108  2 Li 2.15
Ho1 0.5000 0.0000 0.5000  8 F 2.22-2.44
F2 0.4214 0.6322 0.2627  1 Li 2.05, 1 Ho 2.28
F3 0.1344 0.8844 0.2689  2 Ho 2.22
Cs1 0.8331 0.5831 0.6662  9 F 2.94-3.20
F4 0.8413 0.6322 0.2627  1 Li 2.05, 1 Ho 2.28
Li1 0.5000 0.0000 0.0000  6 F 2.05-2.15
F5 0.8413 0.1304 0.2627  1 Li 2.05, 1 Ho 2.28
Ho2 0.0000 0.0000 0.5000  8 F 2.22-2.44
F6 0.5786 0.8696 0.7373  1 Li 2.05, 1 Ho 2.28
Cs2 0.1669 0.4169 0.3338  9 F 2.94-3.20
F7 0.5946 0.8446 0.1892  2 Li 2.15
F8 0.4214 0.1304 0.2627  1 Li 2.05, 1 Ho 2.28
F9 0.8656 0.1156 0.7311  2 Ho 2.22
F10 0.1587 0.3678 0.7373  1 Li 2.05, 1 Ho 2.28
F11 0.1587 0.8696 0.7373  1 Li 2.05, 1 Ho 2.28
Li2 0.5000 0.5000 0.0000  6 F 2.05-2.15
F12 0.5786 0.3678 0.7373  1 Li 2.05, 1 Ho 2.28

- Symmetry: No. 74
- Density: 4.80 g/cm3
- Raw total energy: -46.2 eV per formula unit

***

No. 6
CsHoMgF6 | PBE | optimized geometry

a = 8.0812 Å, b = 7.6330 Å, c = 7.7801 Å
α = 119.38°, β = 121.29°, γ = 90.00°
With the nearest neighbours (Å) after each atom.
Positions (direct):
F1 0.4524 0.6682 0.2597  1 Mg 2.04, 1 Ho 2.16
F2 0.5426 0.2926 0.0852  2 Mg 1.96
F3 0.4574 0.7074 0.9148  2 Mg 1.96
Mg1 0.5000 0.0000 0.0000  6 F 1.96-2.04
F4 0.8074 0.0915 0.2597  1 Mg 2.04, 1 Ho 2.16
F5 0.1674 0.9174 0.3348  2 Ho 2.21
Ho1 0.5000 0.0000 0.5000  6 F 2.16-2.21
Cs1 0.1737 0.4237 0.3474  9 F 3.09-3.44
Ho2 0.0000 0.0000 0.5000  6 F 2.16-2.21
F6 0.1926 0.9085 0.7403  1 Mg 2.04, 1 Ho 2.16
F7 0.5476 0.3318 0.7403  1 Mg 2.04, 1 Ho 2.16
F8 0.1926 0.3318 0.7403  1 Mg 2.04, 1 Ho 2.16
F9 0.5476 0.9085 0.7403  1 Mg 2.04, 1 Ho 2.16
F10 0.4524 0.0915 0.2597  1 Mg 2.04, 1 Ho 2.16
F11 0.8326 0.0826 0.6652  2 Ho 2.21
Mg2 0.5000 0.5000 0.0000  6 F 1.96-2.04
F12 0.8074 0.6682 0.2597  1 Mg 2.04, 1 Ho 2.16
Cs2 0.8263 0.5763 0.6526  9 F 3.09-3.44

- Symmetry: No. 74
- Density: 4.31 g/cm3
- Raw total energy: -51.2 eV per formula unit